Entry 1:
Computed, not measured: crystalline Cs3Bi4Au at its relaxed geometry at the PBE-GGA level of DFT.

abc: 7.3163 7.0469 14.2996
angles: 90.00 90.00 90.00
With the nearest neighbours (Å) after each atom.
Fractional coordinates of all 16 atoms:
1 Bi 0.0133 0.7261 0.5000  1 Au 2.98, 1 Bi 3.19
2 Bi 0.9867 0.7739 0.0000  1 Au 2.98, 1 Bi 3.19
3 Bi 0.3204 0.5000 0.1061  1 Au 3.01, 1 Bi 3.03
4 Bi 0.3204 0.5000 0.8939  1 Au 3.01, 1 Bi 3.03
5 Bi 0.0133 0.2739 0.5000  1 Au 2.98, 1 Bi 3.19
6 Bi 0.6796 0.0000 0.6061  1 Au 3.01, 1 Bi 3.03
7 Bi 0.6796 0.0000 0.3939  1 Au 3.01, 1 Bi 3.03
8 Bi 0.9867 0.2261 0.0000  1 Au 2.98, 1 Bi 3.19
9 Cs 0.4926 0.0000 0.0000  2 Au 3.77, 8 Bi 3.95-4.04
10 Cs 0.1861 0.0000 0.7463  1 Au 3.66
11 Cs 0.5074 0.5000 0.5000  2 Au 3.77, 8 Bi 3.95-4.04
12 Cs 0.8139 0.5000 0.2463  1 Au 3.66
13 Cs 0.8139 0.5000 0.7537  1 Au 3.66
14 Cs 0.1861 0.0000 0.2537  1 Au 3.66
15 Au 0.3238 0.0000 0.5000  4 Bi 2.98-3.01
16 Au 0.6762 0.5000 0.0000  4 Bi 2.98-3.01

Calculated values
* total magnetic moment: 0.000 μB/atom
* final energy: -23.0 eV/f.u.
* energy relative to the elements: -0.210 eV/atom
* crystal system: orthorhombic
* symmetry: Pmmn

Entry 2:
Computed, not measured: crystalline Cs2BiAu2 at its relaxed geometry at the PBE-GGA level of DFT.

abc: 10.9297 10.9297 3.3725
angles: 90.00 90.00 90.00
With the nearest neighbours (Å) after each atom.
Fractional coordinates of all 10 atoms:
1 Cs 0.8092 0.6908 0.0000  2 Cs 3.37, 4 Au 3.67
2 Cs 0.1908 0.3092 0.0000  2 Cs 3.37, 4 Au 3.67
3 Cs 0.3092 0.8092 0.0000  2 Cs 3.37, 4 Au 3.67
4 Cs 0.6908 0.1908 0.0000  2 Cs 3.37, 4 Au 3.67
5 Au 0.5905 0.9095 0.5000  1 Au 2.80
6 Au 0.9095 0.4095 0.5000  1 Au 2.80
7 Au 0.0905 0.5905 0.5000  1 Au 2.80
8 Au 0.4095 0.0905 0.5000  1 Au 2.80
9 Bi 0.0000 0.0000 0.0000  2 Bi 3.37
10 Bi 0.5000 0.5000 0.0000  2 Bi 3.37

Calculated values
* total magnetic moment: 0.000 μB/atom
* final energy: -11.7 eV/f.u.
* distance to the lowest polymorph of the same formula: 37.78 kJ per mole of atoms
* energy relative to the elements: 0.097 eV/atom
* crystal system: tetragonal
* symmetry: P4/mbm

Entry 3:
Computed, not measured: crystalline Cs2Bi3Au2 at its relaxed geometry at the PBE-GGA level of DFT.

abc: 4.8836 7.0893 8.5291
angles: 114.76 90.00 110.15
With the nearest neighbours (Å) after each atom.
Fractional coordinates of all 7 atoms:
1 Cs 0.1637 0.3274 0.8069  1 Au 3.56, 2 Bi 3.77, 2 Cs 3.92
2 Cs 0.8363 0.6726 0.1931  1 Au 3.56, 2 Bi 3.77, 2 Cs 3.92
3 Bi 0.5000 0.0000 0.0000  4 Au 3.27, 2 Bi 3.40
4 Bi 0.3794 0.7588 0.5542  3 Au 2.86-3.18
5 Bi 0.6206 0.2412 0.4458  3 Au 2.86-3.18
6 Au 0.8774 0.7548 0.7267  3 Bi 2.86-3.18
7 Au 0.1226 0.2452 0.2733  3 Bi 2.86-3.18

Calculated values
* total magnetic moment: 0.000 μB/atom
* final energy: -21.4 eV/f.u.
* distance to the lowest polymorph of the same formula: 0.00 kJ per mole of atoms
* energy relative to the elements: -0.207 eV/atom
* crystal system: monoclinic
* symmetry: C2/m

Entry 4:
Computed, not measured: crystalline Cs2BiAu2 at its relaxed geometry at the PBE-GGA level of DFT.

abc: 7.8143 7.1770 8.1025
angles: 97.51 90.00 122.98
With the nearest neighbours (Å) after each atom.
Fractional coordinates of all 10 atoms:
1 Cs 0.7641 0.2883 0.6154  5 Au 3.60-3.90, 1 Cs 3.95, 1 Bi 3.97
2 Cs 0.5242 0.2883 0.1154  5 Au 3.60-3.90, 1 Cs 3.95, 1 Bi 3.97
3 Cs 0.2359 0.7117 0.3846  5 Au 3.60-3.90, 1 Cs 3.95, 1 Bi 3.97
4 Cs 0.4758 0.7117 0.8846  5 Au 3.60-3.90, 1 Cs 3.95, 1 Bi 3.97
5 Au 0.3112 0.2972 0.5111  1 Au 2.83, 2 Bi 2.98-3.01
6 Au 0.0140 0.7028 0.9889  1 Au 2.83, 2 Bi 2.98-3.01
7 Au 0.6888 0.7028 0.4889  1 Au 2.83, 2 Bi 2.98-3.01
8 Au 0.9860 0.2972 0.0111  1 Au 2.83, 2 Bi 2.98-3.01
9 Bi 0.9567 0.0000 0.2500  4 Au 2.98-3.01
10 Bi 0.0433 0.0000 0.7500  4 Au 2.98-3.01

Calculated values
* total magnetic moment: 0.000 μB/atom
* final energy: -13.6 eV/f.u.
* distance to the lowest polymorph of the same formula: 0.00 kJ per mole of atoms
* energy relative to the elements: -0.294 eV/atom
* crystal system: monoclinic
* symmetry: C2/c